Here is an optimized crystal structure of LiTa2Re from Alexandria via LeMat-Bulk. Energies are from GGA-PBE.

Its formation enthalpy at 0 K is 4.14 kcal/mol of atoms. For the final energy, the calculation gives -74.70 eV per cell. As for the crystal system: monoclinic.

Geometry as POSCAR:
```
LiTa2Re
1.0
5.696 0.000 0.000
0.000 8.873 0.000
-0.855 0.000 2.571
Li Ta Re
2 4 2
Cartesian
0.000 0.000 0.000 Li
2.848 4.436 0.000 Li
0.997 2.218 1.286 Ta
0.997 6.655 1.286 Ta
3.844 2.218 1.286 Ta
3.844 6.655 1.286 Ta
0.000 4.436 0.000 Re
2.848 0.000 0.000 Re
```